Material: BaSrI4
Method: DFT, GGA-PBEsol
State: optimized geometry

abc: 8.369 7.867 17.818
angles: 90.00 108.06 90.00
Fractional positions:
Ba  0.217  0.059  0.156
Ba  0.217  0.441  0.656
Ba  0.783  0.559  0.344
Ba  0.783  0.941  0.844
Sr  0.308  0.188  0.905
Sr  0.308  0.312  0.405
Sr  0.692  0.688  0.595
Sr  0.692  0.812  0.095
I  0.011  0.250  0.478
I  0.011  0.250  0.978
I  0.036  0.109  0.736
I  0.036  0.391  0.236
I  0.445  0.671  0.182
I  0.445  0.829  0.682
I  0.449  0.695  0.414
I  0.449  0.805  0.914
I  0.551  0.195  0.086
I  0.551  0.305  0.586
I  0.555  0.171  0.318
I  0.555  0.329  0.818
I  0.964  0.609  0.764
I  0.964  0.891  0.264
I  0.989  0.750  0.022
I  0.989  0.750  0.522

Computed properties:
SG: No. 14
Theoretical density (Mg/m³): 4.36
Formation energy from raw total energies (meV per atom): -1637
DFT total energy (eV/atom): -3.48